No. 1
Entry from Alexandria via LeMat-Bulk: a geometry-optimized Sm6ScIn2 structure (PBE).

a = 11.0895 Å, b = 11.0895 Å, c = 5.0126 Å
α = 90.00°, β = 90.00°, γ = 66.60°
With the nearest neighbours (Å) after each atom.
Positions (direct):
Sm1 0.0036 0.1747 0.2500  6 Sm 3.26-3.54, 2 Sc 3.37, 1 In 3.58
Sm2 0.0244 0.3680 0.7500  4 In 3.15-3.37, 2 Sm 3.36
Sm3 0.1747 0.0036 0.7500  6 Sm 3.26-3.54, 2 Sc 3.37, 1 In 3.58
Sm4 0.2791 0.5272 0.7500  3 In 3.28-3.43, 2 Sm 3.54-3.59
Sm5 0.3680 0.0244 0.2500  4 In 3.15-3.37, 2 Sm 3.36
Sm6 0.4728 0.7209 0.7500  3 In 3.28-3.43, 2 Sm 3.54-3.59
Sm7 0.5272 0.2791 0.2500  3 In 3.28-3.43, 2 Sm 3.54-3.59
Sm8 0.6320 0.9756 0.7500  4 In 3.15-3.37, 2 Sm 3.36
Sm9 0.7209 0.4728 0.2500  3 In 3.28-3.43, 2 Sm 3.54-3.59
Sm10 0.8253 0.9964 0.2500  6 Sm 3.26-3.54, 2 Sc 3.37, 1 In 3.58
Sm11 0.9756 0.6320 0.2500  4 In 3.15-3.37, 2 Sm 3.36
Sm12 0.9964 0.8253 0.7500  6 Sm 3.26-3.54, 2 Sc 3.37, 1 In 3.58
Sc1 0.2106 0.7894 0.2500  10 Sm 3.37-3.68
Sc2 0.7894 0.2106 0.7500  10 Sm 3.37-3.68
In1 0.2100 0.3537 0.2500  2 In 3.06, 5 Sm 3.15-3.37
In2 0.3537 0.2100 0.7500  2 In 3.06, 5 Sm 3.15-3.37
In3 0.6463 0.7900 0.2500  2 In 3.06, 5 Sm 3.15-3.37
In4 0.7900 0.6463 0.7500  2 In 3.06, 5 Sm 3.15-3.37

Symmetry   Cmcm
DFT formation energy   -0.052 eV/atom


No. 2
Entry from Alexandria via LeMat-Bulk: a geometry-optimized Ac8AgIr4 structure (PBE).

a = 8.9670 Å, b = 8.9670 Å, c = 8.9670 Å
α = 60.00°, β = 60.00°, γ = 60.00°
With the nearest neighbours (Å) after each atom.
Positions (direct):
Ac1 0.0869 0.6377 0.6377  3 Ir 3.00
Ac2 0.1093 0.1093 0.1093  3 Ir 3.01, 1 Ag 3.09
Ac3 0.1093 0.1093 0.6722  3 Ir 3.01, 1 Ag 3.09
Ac4 0.1093 0.6722 0.1093  3 Ir 3.01, 1 Ag 3.09
Ac5 0.6377 0.0869 0.6377  3 Ir 3.00
Ac6 0.6377 0.6377 0.0869  3 Ir 3.00
Ac7 0.6377 0.6377 0.6377  3 Ir 3.00
Ac8 0.6722 0.1093 0.1093  3 Ir 3.01, 1 Ag 3.09
Ag1 0.2500 0.2500 0.2500  4 Ac 3.09
Ir1 0.3799 0.8734 0.8734  6 Ac 3.00-3.01
Ir2 0.8734 0.3799 0.8734  6 Ac 3.00-3.01
Ir3 0.8734 0.8734 0.3799  6 Ac 3.00-3.01
Ir4 0.8734 0.8734 0.8734  6 Ac 3.00-3.01

Symmetry   F-43m
DFT formation energy   -0.494 eV/atom


No. 3
Entry from Alexandria via LeMat-Bulk: a geometry-optimized AcDy5Er12 structure (PBE).

a = 10.2629 Å, b = 10.2629 Å, c = 5.9043 Å
α = 90.20°, β = 90.20°, γ = 113.21°
With the nearest neighbours (Å) after each atom.
Positions (direct):
Ac1 0.0000 0.0000 0.0000  10 Er 3.45-3.82
Dy1 0.1653 0.8347 0.5000  8 Er 3.34-3.72
Dy2 0.3252 0.6748 0.0000  8 Er 3.29-3.58
Dy3 0.5000 0.5000 0.5000  8 Er 3.27-3.56
Dy4 0.6748 0.3252 0.0000  8 Er 3.29-3.58
Dy5 0.8347 0.1653 0.5000  8 Er 3.34-3.72
Er1 0.0173 0.3510 0.9441  5 Er 3.28-3.65, 3 Dy 3.34-3.58, 1 Ac 3.55
Er2 0.1597 0.4962 0.4471  3 Dy 3.29-3.49, 5 Er 3.35-3.65
Er3 0.1852 0.1852 0.5377  6 Er 3.35-3.73, 1 Ac 3.45, 3 Dy 3.53-3.56
Er4 0.3380 0.3380 0.0397  3 Dy 3.27-3.52, 4 Er 3.39-3.42
Er5 0.3510 0.0173 0.9441  5 Er 3.28-3.65, 3 Dy 3.34-3.58, 1 Ac 3.55
Er6 0.4962 0.1597 0.4471  3 Dy 3.29-3.49, 5 Er 3.35-3.65
Er7 0.5038 0.8403 0.5529  3 Dy 3.29-3.49, 5 Er 3.35-3.65
Er8 0.6490 0.9827 0.0559  5 Er 3.28-3.65, 3 Dy 3.34-3.58, 1 Ac 3.55
Er9 0.6620 0.6620 0.9603  3 Dy 3.27-3.52, 4 Er 3.39-3.42
Er10 0.8148 0.8148 0.4623  6 Er 3.35-3.73, 1 Ac 3.45, 3 Dy 3.53-3.56
Er11 0.8403 0.5038 0.5529  3 Dy 3.29-3.49, 5 Er 3.35-3.65
Er12 0.9827 0.6490 0.0559  5 Er 3.28-3.65, 3 Dy 3.34-3.58, 1 Ac 3.55

Symmetry   C2/m
DFT formation energy   0.124 eV/atom


No. 4
Entry from Alexandria via LeMat-Bulk: a geometry-optimized KCa2Sc2 structure (PBE).

a = 10.3379 Å, b = 10.3379 Å, c = 3.5841 Å
α = 90.00°, β = 90.00°, γ = 90.00°
With the nearest neighbours (Å) after each atom.
Positions (direct):
K1 0.0000 0.0000 0.0000  2 K 3.58, 4 Ca 3.81
K2 0.5000 0.5000 0.0000  2 K 3.58, 4 Ca 3.81
Ca1 0.1773 0.3227 0.0000  6 Sc 3.50-3.65, 2 Ca 3.58, 2 K 3.81
Ca2 0.3227 0.8227 0.0000  6 Sc 3.50-3.65, 2 Ca 3.58, 2 K 3.81
Ca3 0.6773 0.1773 0.0000  6 Sc 3.50-3.65, 2 Ca 3.58, 2 K 3.81
Ca4 0.8227 0.6773 0.0000  6 Sc 3.50-3.65, 2 Ca 3.58, 2 K 3.81
Sc1 0.1050 0.6050 0.5000  1 Sc 3.07
Sc2 0.3950 0.1050 0.5000  1 Sc 3.07
Sc3 0.6050 0.8950 0.5000  1 Sc 3.07
Sc4 0.8950 0.3950 0.5000  1 Sc 3.07

Symmetry   P4/mbm
DFT formation energy   0.413 eV/atom


No. 5
Entry from Alexandria via LeMat-Bulk: a geometry-optimized YVTeI2 structure (PBE).

a = 5.3692 Å, b = 5.3692 Å, c = 5.5625 Å
α = 90.00°, β = 90.00°, γ = 90.00°
With the nearest neighbours (Å) after each atom.
Positions (direct):
Y1 0.0000 0.0000 0.0000  4 Te 3.80, 8 I 3.87
V1 0.5000 0.5000 0.5000  4 I 2.68, 2 Te 2.78
Te1 0.5000 0.5000 0.0000  2 V 2.78
I1 0.0000 0.5000 0.5000  2 V 2.68
I2 0.5000 0.0000 0.5000  2 V 2.68

Symmetry   P4/mmm
ΔE_f (raw)   -0.136 eV/atom


No. 6
Entry from Alexandria via LeMat-Bulk: a geometry-optimized Ca2TbIn2 structure (PBE).

a = 6.7778 Å, b = 5.3541 Å, c = 16.2199 Å
α = 90.00°, β = 90.00°, γ = 90.00°
With the nearest neighbours (Å) after each atom.
Positions (direct):
Ca1 0.0335 0.2500 0.1456  6 In 3.23-3.52, 2 Ca 3.59
Ca2 0.1802 0.2500 0.7310  3 In 3.29-3.37, 6 Ca 3.44-3.64
Ca3 0.3198 0.7500 0.2310  3 In 3.29-3.37, 6 Ca 3.44-3.64
Ca4 0.4665 0.7500 0.6456  6 In 3.23-3.52, 2 Ca 3.59
Ca5 0.5335 0.2500 0.3544  6 In 3.23-3.52, 2 Ca 3.59
Ca6 0.6802 0.2500 0.7690  3 In 3.29-3.37, 6 Ca 3.44-3.64
Ca7 0.8198 0.7500 0.2690  3 In 3.29-3.37, 6 Ca 3.44-3.64
Ca8 0.9665 0.7500 0.8544  6 In 3.23-3.52, 2 Ca 3.59
Tb1 0.1515 0.7500 0.4533  7 In 3.24-3.49
Tb2 0.3485 0.2500 0.9533  7 In 3.24-3.49
Tb3 0.6515 0.7500 0.0467  7 In 3.24-3.49
Tb4 0.8485 0.2500 0.5467  7 In 3.24-3.49
In1 0.0523 0.2500 0.3489  3 Tb 3.24-3.49, 5 Ca 3.26-3.52
In2 0.1394 0.7500 0.0429  4 Ca 3.23-3.29, 4 Tb 3.31-3.47, 2 In 3.56
In3 0.3606 0.2500 0.5429  4 Ca 3.23-3.29, 4 Tb 3.31-3.47, 2 In 3.56
In4 0.4477 0.7500 0.8489  3 Tb 3.24-3.49, 5 Ca 3.26-3.52
In5 0.5523 0.2500 0.1511  3 Tb 3.24-3.49, 5 Ca 3.26-3.52
In6 0.6394 0.7500 0.4571  4 Ca 3.23-3.29, 4 Tb 3.31-3.47, 2 In 3.56
In7 0.8606 0.2500 0.9571  4 Ca 3.23-3.29, 4 Tb 3.31-3.47, 2 In 3.56
In8 0.9477 0.7500 0.6511  3 Tb 3.24-3.49, 5 Ca 3.26-3.52

Symmetry   Pnma
DFT formation energy   -0.389 eV/atom